[1]
Material: Be2ZnAu
Method: DFT, PBE
State: relaxed

Unit cell a=5.8662 b=5.8662 c=5.8662 alpha=90.00 beta=90.00 gamma=90.00
With the nearest neighbours (Å) after each atom.
Space group F-43m (No. 216)
Symmetry-distinct sites (fractional):
Be  0.0000  0.0000  0.0000 x4  4 Be 2.54, 4 Au 2.54
Be  0.2500  0.2500  0.2500 x4  4 Be 2.54, 4 Zn 2.54
Zn  0.0000  0.0000  0.5000 x4  4 Be 2.54, 4 Au 2.54
Au  0.2500  0.2500  0.7500 x4  4 Be 2.54, 4 Zn 2.54

Computed properties:
The value obtained for the total energy is -46.22 eV for the cell shown. For the theoretical density, the calculation gives 9.23 g cm⁻³. The calculation puts the density of states at the Fermi level at 0.260 states/eV/atom.



[2]
Material: BeZn2Au
Method: DFT, PBE
State: relaxed

Unit cell a=6.4761 b=7.1652 c=4.8336 alpha=90.00 beta=97.52 gamma=90.00
With the nearest neighbours (Å) after each atom.
Space group C2 (No. 5)
Symmetry-distinct sites (fractional):
Be  0.1528  0.0000  0.1810 x4  5 Zn 2.44-2.60, 1 Be 2.46, 3 Au 2.54-2.70
Zn  0.0000  0.4119  0.0000 x2  4 Zn 2.45-2.73, 2 Be 2.60, 2 Au 2.70
Zn  0.0000  0.4677  0.5000 x2  4 Zn 2.45-2.64, 2 Be 2.57, 4 Au 2.72
Zn  0.1246  0.7807  0.7556 x4  3 Be 2.44-2.58, 2 Zn 2.64-2.73, 1 Au 2.72
Au  0.1923  0.1534  0.7164 x4  4 Be 2.54-2.79, 5 Zn 2.70-2.82

Computed properties:
The value obtained for the total energy is -39.03 eV for the cell shown. For the theoretical density, the calculation gives 10.06 g cm⁻³. The calculation puts the density of states at the Fermi level at 0.203 states/eV/atom.



[3]
Material: BeZn2Au
Method: DFT, PBE
State: relaxed

Unit cell a=3.8615 b=3.8615 c=7.3936 alpha=90.00 beta=90.00 gamma=90.00
With the nearest neighbours (Å) after each atom.
Space group P4/nmm (No. 129, origin choice 2)
Symmetry-distinct sites (fractional):
Be  0.2500  0.7500  0.0000 x2  4 Au 2.49, 4 Zn 2.59, 4 Be 2.73
Zn  0.2500  0.2500  0.2328 x2  4 Be 2.59, 4 Au 2.73, 4 Zn 2.76
Zn  0.2500  0.7500  0.5000 x2  8 Zn 2.73-2.76, 4 Au 2.87
Au  0.2500  0.2500  0.7866 x2  4 Be 2.49, 4 Zn 2.73

Computed properties:
The value obtained for the total energy is -19.68 eV for the cell shown. For the theoretical density, the calculation gives 10.15 g cm⁻³. The calculation puts the density of states at the Fermi level at 0.158 states/eV/atom.



[4]
Material: BeZnAu6
Method: DFT, PBE
State: relaxed

Unit cell a=4.3007 b=4.3007 c=14.2327 alpha=90.00 beta=90.00 gamma=90.00
With the nearest neighbours (Å) after each atom.
Space group I4/mmm (No. 139)
Symmetry-distinct sites (fractional):
Be  0.0000  0.0000  0.0000 x2  8 Au 2.64
Zn  0.0000  0.0000  0.5000 x2  8 Au 2.64
Au  0.0000  0.0000  0.2490 x4  12 Au 2.95-3.04
Au  0.0000  0.5000  0.1070 x8  2 Be 2.64, 2 Zn 2.64, 2 Au 2.95

Computed properties:
The value obtained for the excess energy over the best structure of this formula in the dataset is 0 meV per atom. For the theoretical density, the calculation gives 15.85 g cm⁻³. The calculation puts the density of states at the Fermi level at 0.322 states/eV/atom.



[5]
Material: BeZn2Au
Method: DFT, PBE
State: relaxed

Unit cell a=3.8713 b=3.8715 c=7.4172 alpha=90.00 beta=90.00 gamma=90.00
With the nearest neighbours (Å) after each atom.
Space group Imm2 (No. 44)
Symmetry-distinct sites (fractional):
Be  0.0000  0.0000  0.0000 x2  8 Zn 2.68-2.74, 4 Au 2.68
Zn  0.0000  0.0000  0.4995 x2  4 Au 2.68, 4 Zn 2.68, 4 Be 2.74
Zn  0.0000  0.5000  0.2494 x2  4 Be 2.68, 4 Zn 2.68, 4 Au 2.74
Au  0.0000  0.5000  0.7496 x2  4 Be 2.68, 8 Zn 2.68-2.74

Computed properties:
The value obtained for the total energy is -19.31 eV for the cell shown. For the theoretical density, the calculation gives 10.06 g cm⁻³. The calculation puts the density of states at the Fermi level at 0.037 states/eV/atom.



[6]
Material: Be2ZnAu
Method: DFT, PBE
State: relaxed

Unit cell a=3.9697 b=3.9697 c=3.0819 alpha=90.00 beta=90.00 gamma=90.00
With the nearest neighbours (Å) after each atom.
Space group P4/mmm (No. 123)
Symmetry-distinct sites (fractional):
Be  0.0000  0.5000  0.0000 x2  4 Zn 2.51, 4 Au 2.51, 4 Be 2.81
Zn  0.0000  0.0000  0.5000 x1  8 Be 2.51, 4 Au 2.81
Au  0.5000  0.5000  0.5000 x1  8 Be 2.51, 4 Zn 2.81

Computed properties:
The value obtained for the total energy is -12.04 eV for the cell shown. For the theoretical density, the calculation gives 9.59 g cm⁻³. The calculation puts the density of states at the Fermi level at 0.051 states/eV/atom.



[7]
Material: Be2ZnAu4
Method: DFT, PBE
State: relaxed

Unit cell a=6.2288 b=6.2288 c=5.6448 alpha=90.00 beta=90.00 gamma=90.00
With the nearest neighbours (Å) after each atom.
Space group I4mm (No. 107)
Symmetry-distinct sites (fractional):
Be  0.0000  0.5000  0.0000 x4  8 Au 2.61-2.62, 2 Be 2.82
Zn  0.0000  0.0000  0.4985 x2  8 Au 2.61-2.62
Au  0.2495  0.2495  0.7503 x8  2 Zn 2.61-2.62, 4 Be 2.61-2.62, 2 Au 2.82

Computed properties:
The value obtained for the excess energy over the best structure of this formula in the dataset is 0 meV per atom. For the theoretical density, the calculation gives 13.21 g cm⁻³. The calculation puts the density of states at the Fermi level at 0.190 states/eV/atom.



[8]
Material: ZrBe4Au8
Method: DFT, PBE
State: relaxed

Unit cell a=8.7944 b=8.7944 c=5.2613 alpha=90.00 beta=90.00 gamma=90.00
With the nearest neighbours (Å) after each atom.
Space group I4/mmm (No. 139)
Symmetry-distinct sites (fractional):
Zr  0.0000  0.0000  0.0000 x2  4 Au 2.83
Be  0.2500  0.2500  0.2500 x8  8 Au 2.57-2.64, 2 Be 2.63
Au  0.0000  0.2214  0.5000 x8  4 Be 2.57, 4 Au 2.75-2.78
Au  0.0000  0.3221  0.0000 x8  4 Be 2.64, 4 Au 2.78-2.91, 1 Zr 2.83

Computed properties:
The value obtained for the total energy is -103.96 eV for the cell shown. For the theoretical density, the calculation gives 13.90 g cm⁻³. The calculation puts the density of states at the Fermi level at 0.409 states/eV/atom.



[9]
Material: ZrBeAu
Method: DFT, PBE
State: relaxed

Unit cell a=11.5101 b=3.8406 c=6.5472 alpha=90.00 beta=90.00 gamma=90.00
With the nearest neighbours (Å) after each atom.
Space group Pmma (No. 51)
Symmetry-distinct sites (fractional):
Zr  0.0384  0.0000  0.2306 x4  5 Be 2.70-2.76, 2 Au 2.95
Zr  0.2500  0.0000  0.8564 x2  5 Be 2.72-2.80, 6 Au 2.93-3.02
Be  0.0908  0.5000  0.9499 x4  1 Be 2.19, 1 Au 2.43
Be  0.2500  0.0000  0.4283 x2  6 Au 2.46-2.61
Au  0.1228  0.5000  0.5790 x4  3 Be 2.46-2.61
Au  0.2500  0.5000  0.1944 x2  4 Be 2.43-2.46

Computed properties:
The value obtained for the excess energy over the best structure of this formula in the dataset is 0 meV per atom. For the theoretical density, the calculation gives 10.23 g cm⁻³. The calculation puts the density of states at the Fermi level at 0.552 states/eV/atom.



[10]
Material: ZrBeAu
Method: DFT, PBE
State: relaxed

Unit cell a=4.1813 b=4.1813 c=3.3289 alpha=90.00 beta=90.00 gamma=120.00
With the nearest neighbours (Å) after each atom.
Space group P-6m2 (No. 187)
Symmetry-distinct sites (fractional):
Zr  0.0000  0.0000  0.0000 x1  6 Be 2.93, 6 Au 2.93
Be  0.3333  0.6667  0.5000 x1  3 Au 2.41
Au  0.6667  0.3333  0.5000 x1  3 Be 2.41

Computed properties:
The value obtained for the excess energy over the best structure of this formula in the dataset is 80 meV per atom. For the theoretical density, the calculation gives 9.79 g cm⁻³. The calculation puts the density of states at the Fermi level at 0.881 states/eV/atom.



[11]
Material: ZrBeAu2
Method: DFT, PBE
State: relaxed

Unit cell a=2.9637 b=3.1102 c=7.1119 alpha=90.00 beta=90.07 gamma=90.00
With the nearest neighbours (Å) after each atom.
Space group P2/m (No. 10)
Symmetry-distinct sites (fractional):
Zr  0.0000  0.0000  0.0000 x1  4 Zr 2.96-3.11, 8 Au 3.02
Be  0.0000  0.0000  0.5000 x1  8 Au 2.58-2.59
Au  0.5004  0.5000  0.2978 x2  4 Be 2.58-2.59, 1 Au 2.88

Computed properties:
The value obtained for the total energy is -20.14 eV for the cell shown. For the theoretical density, the calculation gives 12.52 g cm⁻³. The calculation puts the density of states at the Fermi level at 0.574 states/eV/atom.



[12]
Material: ZrBeAu2
Method: DFT, PBE
State: relaxed

Unit cell a=4.1457 b=4.1457 c=17.6431 alpha=90.00 beta=90.00 gamma=90.00
With the nearest neighbours (Å) after each atom.
Space group I-42d (No. 122)
Symmetry-distinct sites (fractional):
Zr  0.0000  0.0000  0.0000 x4  4 Au 2.71, 4 Be 2.93
Be  0.0000  0.0000  0.5000 x4  4 Au 2.59
Au  0.2119  0.2500  0.6250 x8  2 Be 2.59, 2 Zr 2.71, 2 Au 2.72

Computed properties:
The value obtained for the total energy is -73.95 eV for the cell shown. For the theoretical density, the calculation gives 10.82 g cm⁻³. The calculation puts the density of states at the Fermi level at 0.496 states/eV/atom.



- Among the records above, which one has the lowest theoretical density?
  number 1